PBE+U Na5Ni2O5, relaxed; Fermi-level density of states = 6.258 states/eV/f.u.; DFT total energy = -4.1426 eV per atom; total magnetization = 0.42 μB/atom
1.0
4.794 0.000 2.437
2.397 5.494 1.219
-0.092 0.000 6.116
Na O Ni
5 5 2
Direct
0.134 0.392 0.000
0.526 0.000 0.608
0.888 0.000 0.000
0.526 0.608 0.000
0.134 0.000 0.392
0.004 0.320 0.680
0.324 0.680 0.680
0.684 0.320 0.320
0.464 0.000 0.000
0.004 0.680 0.320
0.753 0.500 0.500
0.253 0.500 0.500